First-principles (GGA-PBE) data for Sm6Tl2Ag after structural relaxation, as listed in Alexandria.

## Properties
Relative energy among the computed polymorphs (meV/atom): 0
Formation enthalpy at 0 K (meV/atom): -217

Lattice parameters (Å, degrees): 3.8008 9.0495 9.0508 120.00 90.00 90.00
Fractional coordinates of all 9 atoms:
Sm 0.0000 0.2661 0.0000
Sm 0.5000 0.3945 0.3945
Sm 0.0000 0.7341 0.7341
Sm 0.0000 0.9999 0.2659
Sm 0.5000 0.0000 0.6055
Sm 0.5000 0.6052 0.0000
Ag 0.5000 0.0001 0.0000
Tl 0.0000 0.3333 0.6665
Tl 0.0000 0.6668 0.3335

First-principles (GGA-PBE) data for ZnSiTe2 after structural relaxation, as listed in Alexandria.

## Properties
Formation energy from raw total energies (eV per atom): 0.19
Relative energy among the computed polymorphs (meV/atom): 200

Lattice parameters (Å, degrees): 7.3808 7.3808 7.3808 150.17 150.21 42.66
Fractional coordinates of all 4 atoms:
Te 0.0444 0.0444 0.0000
Te 0.7910 0.2910 0.5000
Si 0.2041 0.7041 0.5000
Zn 0.4605 0.4605 0.0000